! GGA-PBE LiMnGe2Pt, optimized geometry; values from VASP
! Energy of formation ... 0.31 eV/atom
&SYSTEM
  ibrav = 0, nat = 5, ntyp = 4
/
ATOMIC_SPECIES
Ge 72.64 Ge.upf
Li 6.94 Li.upf
Mn 54.94 Mn.upf
Pt 195.08 Pt.upf
ATOMIC_POSITIONS angstrom
Ge 0.000 0.000 2.421
Li 2.421 2.521 2.421
Ge 2.421 0.000 0.000
Mn 0.000 2.521 0.000
Pt 0.000 0.000 0.000
CELL_PARAMETERS angstrom
4.841 0.000 0.000
0.000 5.041 0.000
0.000 0.000 4.841

***

! GGA-PBE NbTe6Au, optimized geometry; values from VASP
! ΔE_f (raw) ... -0.5 eV per formula unit
&SYSTEM
  ibrav = 0, nat = 8, ntyp = 3
/
ATOMIC_SPECIES
Te 127.60 Te.upf
Au 196.97 Au.upf
Nb 92.91 Nb.upf
ATOMIC_POSITIONS angstrom
Te -7.198 -3.913 -3.741
Au 0.000 0.000 0.000
Te -6.155 -0.302 -3.705
Nb -8.668 -1.568 -3.964
Te -10.139 0.778 -4.188
Te -8.745 -1.586 -1.236
Te -11.181 -2.834 -4.224
Te -8.592 -1.549 -6.693
CELL_PARAMETERS angstrom
-4.945 0.846 -5.933
-4.335 -4.824 -2.042
-8.057 0.842 0.046